LaSm2PuAs4 GGA-PBE optimized geometry; formation enthalpy at 0 K = -1.391 eV per atom; spin magnetization = 4.92 μB per cell
1.0
-0.2506 1.0430 -4.1037
-7.1560 -1.6036 0.0294
-3.8417 5.9962 1.7586
As Pu Sm La
4 1 2 1
Direct
0.0000 0.7474 0.7580 As
0.0000 0.2526 0.2420 As
0.5000 0.2473 0.7578 As
0.5000 0.7527 0.2422 As
0.5000 0.5000 0.0000 Pu
0.5000 0.0000 0.5000 Sm
0.0000 0.0000 0.0000 Sm
0.0000 0.5000 0.5000 La